Here is a relaxed BeAsH crystal from the Alexandria database. Energies are from PBEsol.

```
data_BeAsH
_chemical_formula_sum 'Be2 As2 H2'
_cell_length_a 3.927
_cell_length_b 5.164
_cell_length_c 3.716
_cell_angle_alpha 90.00
_cell_angle_beta 90.00
_cell_angle_gamma 90.00
_symmetry_space_group_name_H-M 'P m c 21'
_symmetry_Int_Tables_number 26
loop_
_symmetry_equiv_pos_as_xyz
'x,y,z'
'-x,-y,z+1/2'
'-x,y,z'
'x,-y,z+1/2'
loop_
_atom_site_label
_atom_site_type_symbol
_atom_site_fract_x
_atom_site_fract_y
_atom_site_fract_z
_atom_site_occupancy
Be1 Be 0.000 0.144 0.000 1
As1 As 0.500 0.346 0.067 1
H1 H 0.000 0.125 0.608 1
```

Calculated values
Uncorrected energy: -25.14 eV/cell
D(E_F): 0.0 states/eV/f.u.